The following is a PBE+U calculation of a relaxed structure of LiPbWO4, from the Alexandria database.

Cell: 6.459 7.348 8.451 Å, 90.00 90.00 90.00°
Space group Imma (No. 74)
Symmetry-distinct sites (fractional):
Li: 0.000 0.000 0.000 x4
Pb: 0.000 0.250 0.344 x4
W: 0.250 0.250 0.750 x4
O: 0.000 0.072 0.752 x8
O: 0.234 0.250 0.978 x8

Summary:
As for the crystal system: orthorhombic. The electronic total energy is -180.6 eV/cell.